1.
# CuHg

A geometry-optimized CuHg structure (PBE, Alexandria via LeMat-Bulk).

abc: 7.3952 7.3952 7.3952
angles: 90.00 90.00 90.00
Fractional coordinates of all 12 atoms:
Cu 0.0000 0.2500 0.5000
Cu 0.0000 0.7500 0.5000
Cu 0.2500 0.5000 0.0000
Cu 0.5000 0.0000 0.2500
Cu 0.5000 0.0000 0.7500
Cu 0.7500 0.5000 0.0000
Hg 0.0000 0.5000 0.2500
Hg 0.0000 0.5000 0.7500
Hg 0.2500 0.0000 0.5000
Hg 0.5000 0.2500 0.0000
Hg 0.5000 0.7500 0.0000
Hg 0.7500 0.0000 0.5000

Output
ΔH_f (0 K)	640	meV/atom



2.
# CuHg3

A geometry-optimized CuHg3 structure (PBE, Alexandria via LeMat-Bulk).

abc: 5.2287 5.2287 5.2287
angles: 90.00 90.00 90.00
Fractional coordinates of all 4 atoms:
Cu 0.0000 0.0000 0.0000
Hg 0.0000 0.0000 0.5000
Hg 0.0000 0.5000 0.0000
Hg 0.5000 0.0000 0.0000

Output
ΔH_f (0 K)	140	meV/atom



3.
# CuHg

A geometry-optimized CuHg structure (PBE, Alexandria via LeMat-Bulk).

abc: 9.6228 9.6228 3.3173
angles: 90.00 90.00 90.00
Fractional coordinates of all 16 atoms:
Cu 0.0774 0.6146 0.0000
Cu 0.1146 0.4226 0.5000
Cu 0.3854 0.0774 0.0000
Cu 0.4226 0.8854 0.5000
Cu 0.5774 0.1146 0.5000
Cu 0.6146 0.9226 0.0000
Cu 0.8854 0.5774 0.5000
Cu 0.9226 0.3854 0.0000
Hg 0.1194 0.1825 0.0000
Hg 0.1825 0.8806 0.0000
Hg 0.3175 0.6194 0.5000
Hg 0.3806 0.3175 0.5000
Hg 0.6194 0.6825 0.5000
Hg 0.6825 0.3806 0.5000
Hg 0.8175 0.1194 0.0000
Hg 0.8806 0.8175 0.0000

Output
ΔH_f (0 K)	157	meV/atom



4.
# CuHg

A geometry-optimized CuHg structure (PBE, Alexandria via LeMat-Bulk).

abc: 2.9963 11.8652 6.3677
angles: 90.00 90.00 90.00
Fractional coordinates of all 12 atoms:
Cu 0.0000 0.0000 0.0000
Cu 0.0000 0.5000 0.5000
Cu 0.5000 0.1082 0.2477
Cu 0.5000 0.3918 0.7477
Cu 0.5000 0.6082 0.7477
Cu 0.5000 0.8918 0.2477
Hg 0.0000 0.0000 0.5801
Hg 0.0000 0.2265 0.9435
Hg 0.0000 0.2735 0.4435
Hg 0.0000 0.5000 0.0801
Hg 0.0000 0.7265 0.4435
Hg 0.0000 0.7735 0.9435

Output
ΔH_f (0 K)	165	meV/atom



Number 1: spin magnetization 0.00 μB per formula unit. Number 2: spin magnetization 0.00 μB per formula unit. Number 3: spin magnetization 0.00 μB per formula unit. Number 4: spin magnetization 0.00 μB per formula unit.